No. 1
A geometry-optimized Al2CdSb structure. Source: Alexandria via LeMat-Bulk, functional GGA-PBE.

Values from the calculation:
**Distance to the lowest polymorph of the same formula**: 102 meV/atom
**E_form (uncorrected)**: 0.212 eV/atom
**Fermi-level density of states**: 1.1 states/eV/f.u.
**E**: -2.9186 eV per atom

Cell and atoms, written as POSCAR:
```
Al2CdSb
1.0
4.932 0.000 0.000
0.000 4.932 0.000
0.000 0.000 3.611
Al Sb Cd
2 1 1
direct
0.500 0.500 0.000
0.000 0.000 0.000
0.000 0.500 0.500
0.500 0.000 0.500
```

---

No. 2
A geometry-optimized AlCd4Sb structure. Source: Alexandria via LeMat-Bulk, functional GGA-PBE.

Values from the calculation:
**E_form (uncorrected)**: 0.237 eV/atom
**Fermi-level density of states**: 3.5 states/eV/f.u.
**E**: -1.6837 eV per atom

Cell and atoms, written as POSCAR:
```
AlCd4Sb
1.0
-2.767 -5.041 -1.300
-5.890 -0.165 -0.193
-2.764 -0.596 -5.173
Al Cd Sb
1 4 1
direct
0.000 0.000 0.000
0.875 0.375 0.375
0.375 0.875 0.375
0.375 0.375 0.375
0.375 0.375 0.875
0.750 0.750 0.750
```

---

No. 3
A geometry-optimized AlCdSb structure. Source: Alexandria via LeMat-Bulk, functional GGA-PBE.

Values from the calculation:
**Distance to the lowest polymorph of the same formula**: 53 meV/atom
**E_form (uncorrected)**: 0.119 eV/atom
**Fermi-level density of states**: 0.9 states/eV/f.u.
**E**: -2.8081 eV per atom

Cell and atoms, written as POSCAR:
```
AlCdSb
1.0
4.790 0.000 0.000
2.395 4.148 0.000
2.395 1.383 3.911
Cd Sb Al
1 1 1
direct
0.000 0.000 0.000
0.500 0.500 0.500
0.750 0.750 0.750
```

---

No. 4
A geometry-optimized AlCdSb structure. Source: Alexandria via LeMat-Bulk, functional GGA-PBE.

Values from the calculation:
**Distance to the lowest polymorph of the same formula**: 4 meV/atom
**E_form (uncorrected)**: 0.070 eV/atom
**Fermi-level density of states**: 0.7 states/eV/f.u.
**E**: -2.8569 eV per atom

Cell and atoms, written as POSCAR:
```
AlCdSb
1.0
-2.445 -2.907 -1.536
4.762 0.840 -3.800
3.008 -2.735 5.384
Sb Cd Al
2 2 2
direct
0.457 0.312 0.717
0.543 0.688 0.283
0.717 0.229 0.326
0.283 0.771 0.674
0.042 0.220 0.976
0.958 0.780 0.024
```

---

No. 5
A geometry-optimized AlCdSb2 structure. Source: Alexandria via LeMat-Bulk, functional GGA-PBE.

Values from the calculation:
**Distance to the lowest polymorph of the same formula**: 146 meV/atom
**E_form (uncorrected)**: 0.155 eV/atom
**Fermi-level density of states**: 0.6 states/eV/f.u.
**E**: -3.0711 eV per atom

Cell and atoms, written as POSCAR:
```
AlCdSb2
1.0
-5.035 9.546 1.804
-6.180 8.945 -1.238
-7.706 7.643 1.389
Sb Cd Al
2 1 1
direct
0.987 0.987 0.987
0.513 0.513 0.513
0.750 0.750 0.750
0.250 0.250 0.250
```

---

No. 6
A geometry-optimized AlCdSb2 structure. Source: Alexandria via LeMat-Bulk, functional GGA-PBE.

Values from the calculation:
**Distance to the lowest polymorph of the same formula**: 208 meV/atom
**E_form (uncorrected)**: 0.217 eV/atom
**Fermi-level density of states**: 1.8 states/eV/f.u.
**E**: -3.0087 eV per atom

Cell and atoms, written as POSCAR:
```
AlCdSb2
1.0
0.000 3.650 3.650
3.650 0.000 3.650
3.650 3.650 0.000
Sb Al Cd
2 1 1
direct
0.750 0.750 0.750
0.250 0.250 0.250
0.000 0.000 0.000
0.500 0.500 0.500
```

---

No. 7
A geometry-optimized AlCd2Sb structure. Source: Alexandria via LeMat-Bulk, functional GGA-PBE.

Values from the calculation:
**Distance to the lowest polymorph of the same formula**: 66 meV/atom
**E_form (uncorrected)**: 0.157 eV/atom
**Fermi-level density of states**: 1.8 states/eV/f.u.
**E**: -2.2664 eV per atom

Cell and atoms, written as POSCAR:
```
AlCd2Sb
1.0
5.949 -0.068 0.000
2.943 5.171 0.000
-4.446 -2.551 3.020
Sb Cd Al
1 2 1
direct
0.250 0.750 0.500
0.000 0.000 0.000
0.500 0.500 0.000
0.750 0.250 0.500
```

---

No. 8
A geometry-optimized Al2Cd2Sb structure. Source: Alexandria via LeMat-Bulk, functional GGA-PBE.

Values from the calculation:
**Distance to the lowest polymorph of the same formula**: 0 meV/atom
**E_form (uncorrected)**: 0.212 eV/atom
**Fermi-level density of states**: 2.3 states/eV/f.u.
**E**: -2.4752 eV per atom

Cell and atoms, written as POSCAR:
```
Al2Cd2Sb
1.0
-7.584 -0.245 -3.052
0.636 -8.101 -0.932
-1.222 -0.449 3.073
Cd Al Sb
4 4 2
direct
0.183 0.683 0.500
0.683 0.817 0.500
0.317 0.183 0.500
0.817 0.317 0.500
0.883 0.617 0.000
0.383 0.883 0.000
0.617 0.117 0.000
0.117 0.383 0.000
0.000 0.000 0.000
0.500 0.500 0.000
```

---

No. 9
A geometry-optimized AlCdSb2 structure. Source: Alexandria via LeMat-Bulk, functional GGA-PBE.

Values from the calculation:
**Distance to the lowest polymorph of the same formula**: 140 meV/atom
**E_form (uncorrected)**: 0.148 eV/atom
**Fermi-level density of states**: 1.9 states/eV/f.u.
**E**: -3.0771 eV per atom

Cell and atoms, written as POSCAR:
```
AlCdSb2
1.0
6.555 -0.014 -0.067
5.400 3.715 -0.067
1.512 0.468 4.105
Al Sb Cd
1 2 1
direct
0.750 0.750 0.750
0.061 0.061 0.940
0.439 0.439 0.560
0.250 0.250 0.250
```

---

No. 10
A geometry-optimized Al2CdSb structure. Source: Alexandria via LeMat-Bulk, functional GGA-PBE.

Values from the calculation:
**Distance to the lowest polymorph of the same formula**: 34 meV/atom
**E_form (uncorrected)**: 0.143 eV/atom
**Fermi-level density of states**: 1.5 states/eV/f.u.
**E**: -2.9873 eV per atom

Cell and atoms, written as POSCAR:
```
Al2CdSb
1.0
-1.174 -1.815 -3.280
1.901 -2.154 0.512
-5.492 -3.872 4.109
Sb Cd Al
1 1 2
direct
0.500 0.750 0.750
0.500 0.250 0.250
0.000 0.751 0.017
0.000 0.749 0.483
```

---

No. 11
A geometry-optimized AlCdSb2 structure. Source: Alexandria via LeMat-Bulk, functional GGA-PBE.

Values from the calculation:
**Distance to the lowest polymorph of the same formula**: 198 meV/atom
**E_form (uncorrected)**: 0.206 eV/atom
**Fermi-level density of states**: 1.6 states/eV/f.u.
**E**: -3.0194 eV per atom

Cell and atoms, written as POSCAR:
```
AlCdSb2
1.0
-1.476 -3.946 1.294
4.896 -2.163 -1.008
1.164 0.833 3.867
Al Sb Cd
1 2 1
direct
0.500 0.000 0.500
0.500 0.500 0.000
0.000 0.000 0.000
0.000 0.500 0.500
```

---

No. 12
A geometry-optimized AlCdSb2 structure. Source: Alexandria via LeMat-Bulk, functional GGA-PBE.

Values from the calculation:
**Distance to the lowest polymorph of the same formula**: 180 meV/atom
**E_form (uncorrected)**: 0.188 eV/atom
**Fermi-level density of states**: 1.8 states/eV/f.u.
**E**: -3.0376 eV per atom

Cell and atoms, written as POSCAR:
```
AlCdSb2
1.0
-3.367 -0.121 0.465
0.604 -1.420 -3.031
0.830 -8.021 3.923
Al Cd Sb
1 1 2
direct
0.500 0.500 0.250
0.500 0.500 0.750
0.000 0.000 0.022
0.000 0.000 0.478
```